Entry 1:
Crystalline InMo2 at its relaxed geometry. Source: Alexandria via LeMat-Bulk, functional PBE.

Lattice parameters (Å, degrees): 4.604 4.604 2.834 90.00 90.00 120.00
Element x y z (fractional)
In (0.000, 0.000, 0.000)
Mo (0.333, 0.667, 0.388)
Mo (0.667, 0.333, 0.612)

Computed properties:
total magnetic moment	0.00	μB per formula unit
formation enthalpy at 0 K	260	meV/atom
calculated total energy	-7.874	eV/atom


Entry 2:
Crystalline In5Mo at its relaxed geometry. Source: Alexandria via LeMat-Bulk, functional PBE.

Lattice parameters (Å, degrees): 7.635 7.635 4.338 90.00 90.00 147.17
Site moments in Bohr magnetons follow the coordinates.
Element x y z (fractional)
Mo (0.500, 0.500, 0.000)  1.36
In (0.000, 0.000, 0.500)  -0.03
In (0.847, 0.153, 0.000)  0.00
In (0.153, 0.847, 0.000)  0.00
In (0.661, 0.339, 0.500)  -0.01
In (0.339, 0.661, 0.500)  -0.01

Computed properties:
total magnetic moment	1.50	μB per formula unit
formation enthalpy at 0 K	359	meV/atom
calculated total energy	-3.729	eV/atom


Entry 3:
Crystalline InMoN2 at its relaxed geometry. Source: Alexandria via LeMat-Bulk, functional PBE.

Lattice parameters (Å, degrees): 6.551 6.551 6.551 28.93 28.93 28.93
Element x y z (fractional)
In (0.500, 0.500, 0.500)
N (0.101, 0.101, 0.101)
N (0.899, 0.899, 0.899)
Mo (0.000, 0.000, 0.000)

Computed properties:
total magnetic moment	0.00	μB per formula unit
ΔE_f (raw)	2.39	eV/f.u.
calculated total energy	-6.956	eV/atom


Entry 4:
Crystalline In2MoN at its relaxed geometry. Source: Alexandria via LeMat-Bulk, functional PBE.

Lattice parameters (Å, degrees): 6.951 6.951 5.687 52.32 52.32 90.00
Site moments in Bohr magnetons follow the coordinates.
Element x y z (fractional)
N (0.500, 0.500, 0.000)  0.05
N (0.250, 0.750, 0.500)  0.06
Mo (0.000, 0.000, 0.000)  1.47
In (0.556, 0.125, 0.250)  -0.01
Mo (0.750, 0.250, 0.500)  1.47
In (0.194, 0.625, 0.250)  -0.01
In (0.375, 0.444, 0.750)  -0.01
In (0.875, 0.806, 0.750)  -0.01

Computed properties:
total magnetic moment	1.72	μB per formula unit
ΔE_f (raw)	3.57	eV/f.u.
calculated total energy	-5.265	eV/atom


Entry 5:
Crystalline InMoN2 at its relaxed geometry. Source: Alexandria via LeMat-Bulk, functional PBE.

Lattice parameters (Å, degrees): 7.160 7.160 7.160 24.21 24.21 24.21
Element x y z (fractional)
Mo (0.500, 0.500, 0.500)
In (0.000, 0.000, 0.000)
N (0.889, 0.889, 0.889)
N (0.111, 0.111, 0.111)

Computed properties:
total magnetic moment	0.00	μB per formula unit
ΔE_f (raw)	0.01	eV/f.u.
calculated total energy	-7.552	eV/atom


Entry 6:
Crystalline InMo3N at its relaxed geometry. Source: Alexandria via LeMat-Bulk, functional PBE.

Lattice parameters (Å, degrees): 4.892 4.892 4.892 90.00 90.00 90.00
Element x y z (fractional)
In (0.000, 0.000, 0.000)
N (0.500, 0.500, 0.500)
Mo (0.500, 0.000, 0.000)
Mo (0.000, 0.000, 0.500)
Mo (0.000, 0.500, 0.000)

Computed properties:
total magnetic moment	0.00	μB per formula unit
ΔE_f (raw)	18.26	eV/f.u.
calculated total energy	-5.060	eV/atom